5
Lattice="4.8630 0.0000 0.0000 0.0000 4.8630 0.0000 0.0000 0.0000 4.8630" Properties=species:S:1:pos:R:3 comment="SrFeCl3 (PBE-GGA, relaxed)" de_polymorph_ev_per_fu=0.000 energy_ev_per_atom=-4.31 vol_a3_per_atom=23.0 space_group="No. 221" raw_formation_energy_mev_per_atom=-1170 pbc="T T T"
Sr 0.0000 0.0000 0.0000
Fe 2.4315 2.4315 2.4315
Cl 0.0000 2.4315 2.4315
Cl 2.4315 0.0000 2.4315
Cl 2.4315 2.4315 0.0000

***

4
Lattice="3.7666 0.0000 0.0000 0.0000 3.7666 0.0000 0.0000 0.0000 6.9444" Properties=species:S:1:pos:R:3 comment="InGa2Pb (PBE-GGA, relaxed)" de_polymorph_ev_per_fu=0.068 energy_ev_per_atom=-3.06 vol_a3_per_atom=24.6 space_group="No. 123" pbc="T T T"
In 0.0000 0.0000 0.0000
Ga 1.8833 1.8833 1.5528
Ga 1.8833 1.8833 5.3916
Pb 0.0000 0.0000 3.4722

***

16
Lattice="3.9483 2.2795 6.4903 -3.9483 2.2795 6.4903 0.0000 -4.5591 6.4903" Properties=species:S:1:pos:R:3 comment="Li4Tm3HfSe8 (PBE-GGA, relaxed)" energy_ev_per_atom=-5.25 vol_a3_per_atom=21.9 space_group="No. 166" raw_formation_energy_mev_per_atom=-1571 pbc="T T T"
Li 0.0000 0.0000 0.0000
Li -1.9741 -1.1398 6.4903
Li -1.9741 1.1398 12.9806
Li 0.0000 2.2795 6.4903
Tm -3.9483 0.0000 9.7354
Tm -1.9741 1.1398 3.2451
Tm 1.9741 1.1398 3.2451
Hf 0.0000 0.0000 9.7354
Se 0.0000 0.0000 4.8973
Se 0.0000 -2.2040 8.1166
Se -1.9087 1.1020 8.1166
Se -1.9087 -1.1020 11.3543
Se 1.9087 1.1020 8.1166
Se 1.9087 -1.1020 11.3543
Se 0.0000 2.2040 11.3543
Se 0.0000 0.0000 14.5736

***

20
Lattice="4.6782 -7.6631 0.0000 4.6782 7.6631 0.0000 -1.2973 0.0000 9.6966" Properties=species:S:1:pos:R:3 comment="PmPrNd6Ho2 (PBE-GGA, relaxed)" energy_ev_per_atom=-4.62 vol_a3_per_atom=34.8 space_group="No. 15" pbc="T T T"
Pm 3.7053 7.1876 7.2725
Pm 4.3539 -7.1876 2.4242
Pr 4.3539 1.4321 2.4242
Pr 3.7053 -1.4321 7.2725
Nd 1.8281 4.2017 6.6137
Nd 3.9875 4.9697 0.5438
Nd 4.7203 4.9697 4.3045
Nd 2.6402 1.6646 8.5402
Nd 5.5825 4.2017 7.9312
Nd 4.7704 1.6646 6.0047
Nd 3.2888 -1.6646 3.6919
Nd 2.4767 -4.2017 1.7654
Nd 5.4190 -1.6646 1.1564
Nd 3.3389 -4.9697 5.3921
Nd 4.0717 -4.9697 9.1528
Nd 6.2311 -4.2017 3.0829
Ho 1.5863 0.7360 5.3126
Ho 2.2350 -0.7360 0.4643
Ho 5.8242 0.7360 9.2323
Ho 6.4729 -0.7360 4.3840

***

Please write out number 1 again, unchanged.
5
Lattice="4.8630 0.0000 0.0000 0.0000 4.8630 0.0000 0.0000 0.0000 4.8630" Properties=species:S:1:pos:R:3 comment="SrFeCl3 (PBE-GGA, relaxed)" de_polymorph_ev_per_fu=0.000 energy_ev_per_atom=-4.31 vol_a3_per_atom=23.0 space_group="No. 221" raw_formation_energy_mev_per_atom=-1170 pbc="T T T"
Sr 0.0000 0.0000 0.0000
Fe 2.4315 2.4315 2.4315
Cl 0.0000 2.4315 2.4315
Cl 2.4315 0.0000 2.4315
Cl 2.4315 2.4315 0.0000

***

- Which formula does entry 2 have?
  InGa2Pb